A plane-wave DFT calculation with GGA-PBE was carried out for a relaxed structure of Rb3OsF.

Its total magnetization is 2.03 μB/f.u. Its total energy is -3.188 eV per atom.

Unit cell a=5.5480 b=5.5480 c=5.5480 alpha=90.00 beta=90.00 gamma=90.00
With the nearest neighbours (Å) after each atom.
Space group Pm-3m (No. 221)
One atom of each set of equivalent atoms:
Rb 0.0000 0.0000 0.5000 (multiplicity 3)  2 F 2.77
Os 0.5000 0.5000 0.5000 (multiplicity 1)  12 Rb 3.92
F 0.0000 0.0000 0.0000 (multiplicity 1)  6 Rb 2.77